PBE Si2IrW, relaxed; formation energy from raw total energies = -158 meV/atom; volume = 14.19 Å³ per atom; space group = C2/m, No. 12; ρ = 12.65 g/cm3
1.0
-1.385 3.900 -1.154
-3.441 2.570 0.118
0.875 2.758 4.296
Ir Si W
1 2 1
Direct
0.750 0.750 0.750 Ir
0.005 0.005 0.991 Si
0.495 0.495 0.509 Si
0.250 0.250 0.250 W